A relaxed BaCrN2F crystal. Source: Alexandria via LeMat-Bulk, functional PBE+U.

POSCAR file:
```
BaCrN2F
1.0
4.775 0.000 0.000
0.000 4.775 0.000
0.000 0.000 4.876
Cr F N Ba
1 1 2 1
direct
0.500 0.500 0.500
0.000 0.000 0.500
0.000 0.500 0.000
0.500 0.000 0.000
0.000 0.000 0.000
```

Values from the calculation:
The magnetic moment comes out at 0.60 μB/atom. The value obtained for the energy above the most stable polymorph in this dataset is 8.35 eV per formula unit. Its space-group type is No. 123. The crystal system is tetragonal.

---

A relaxed BaCrN2F crystal. Source: Alexandria via LeMat-Bulk, functional PBE+U.

POSCAR file:
```
BaCrN2F
1.0
3.878 0.000 0.000
0.000 3.878 0.000
0.000 0.000 4.949
Ba F N Cr
1 1 2 1
direct
0.500 0.500 0.500
0.000 0.000 0.500
0.500 0.000 0.000
0.000 0.500 0.000
0.000 0.000 0.000
```

Values from the calculation:
The magnetic moment comes out at 0.21 μB/atom. The value obtained for the energy above the most stable polymorph in this dataset is 0.00 eV per formula unit. Its space-group type is No. 123. The crystal system is tetragonal.

---

A relaxed BaCrNF2 crystal. Source: Alexandria via LeMat-Bulk, functional PBE+U.

POSCAR file:
```
BaCrNF2
1.0
4.397 0.000 0.000
0.000 4.397 0.000
0.000 0.000 3.899
F Ba N Cr
2 1 1 1
direct
0.500 0.000 0.000
0.000 0.500 0.000
0.500 0.500 0.500
0.000 0.000 0.500
0.000 0.000 0.000
```

Values from the calculation:
The magnetic moment comes out at 0.60 μB/atom. The value obtained for the energy above the most stable polymorph in this dataset is 0.00 eV per formula unit. Its space-group type is No. 123. The crystal system is tetragonal.

---

A relaxed BaNa2CrF6 crystal. Source: Alexandria via LeMat-Bulk, functional PBE+U.

POSCAR file:
```
BaNa2CrF6
1.0
6.291 0.147 -0.168
0.144 5.902 0.204
-0.378 -0.290 8.593
F Ba Na Cr
12 2 4 2
direct
0.363 0.312 0.462
0.154 0.330 0.777
0.637 0.688 0.538
0.725 0.647 0.889
0.142 0.799 0.984
0.374 0.880 0.289
0.626 0.120 0.711
0.858 0.201 0.016
0.846 0.670 0.223
0.787 0.181 0.364
0.275 0.353 0.111
0.213 0.819 0.636
0.000 0.500 0.500
0.500 0.000 0.000
0.532 0.505 0.285
0.028 0.996 0.216
0.468 0.495 0.715
0.972 0.004 0.784
0.500 0.000 0.500
0.000 0.500 0.000
```

Values from the calculation:
The magnetic moment comes out at 0.40 μB/atom. Its space-group type is No. 2. The total energy comes out at -105.90 eV/cell. The crystal system is triclinic.